A relaxed Sc2ZnHg2 crystal. Source: Alexandria, functional PBE-GGA.

Lattice parameters (Å, degrees): 7.8039 7.8039 3.7267 90.00 90.00 90.00
With the nearest neighbours (Å) after each atom.
Atoms (fractional coordinates):
Zn 0.5000 0.5000 0.0000  4 Sc 2.95
Zn 0.0000 0.0000 0.0000  4 Sc 2.95
Hg 0.3554 0.1446 0.5000  6 Sc 2.88-3.00, 1 Hg 3.19
Hg 0.6446 0.8554 0.5000  6 Sc 2.88-3.00, 1 Hg 3.19
Hg 0.1446 0.6446 0.5000  6 Sc 2.88-3.00, 1 Hg 3.19
Hg 0.8554 0.3554 0.5000  6 Sc 2.88-3.00, 1 Hg 3.19
Sc 0.6558 0.1558 0.0000  6 Hg 2.88-3.00, 2 Zn 2.95
Sc 0.8442 0.6558 0.0000  6 Hg 2.88-3.00, 2 Zn 2.95
Sc 0.1558 0.3442 0.0000  6 Hg 2.88-3.00, 2 Zn 2.95
Sc 0.3442 0.8442 0.0000  6 Hg 2.88-3.00, 2 Zn 2.95

Values from the calculation:
- formation energy (eV per atom) = -0.15
- magnetization (Bohr magnetons per cell) = 0.00
- E above lowest polymorph (meV per atom) = 111